1.
VASP calculation (SCAN) on Nb2AlC at its PBEsol-relaxed geometry.

```
Nb2AlC
1.0
5.369 -0.031 0.000
-2.296 4.854 0.000
-1.537 -2.411 4.544
Al Nb C
2 4 2
Cartesian
0.000 0.000 0.000 Al
-1.148 2.427 2.272 Al
0.623 0.450 2.556 Nb
-2.061 0.466 4.261 Nb
2.830 0.740 0.284 Nb
1.682 3.167 1.989 Nb
2.685 -0.016 2.272 C
1.537 2.411 0.000 C
```

**E_form**: 0.124 eV per atom
**Space-group type**: I-42d, No. 122
**E above lowest polymorph**: 666 meV per atom

2.
VASP calculation (SCAN) on Zn2Ag3 at its PBEsol-relaxed geometry.

```
Zn2Ag3
1.0
2.847 0.000 0.000
1.424 2.466 0.000
1.424 0.822 11.073
Zn Ag
2 3
Cartesian
2.847 1.644 8.886 Zn
2.847 1.644 2.186 Zn
4.271 2.466 6.719 Ag
1.424 0.822 4.354 Ag
0.000 0.000 0.000 Ag
```

**E_form**: -0.002 eV per atom
**Space-group type**: R-3m, No. 166
**E above lowest polymorph**: 17 meV per atom

3.
VASP calculation (SCAN) on Tl2HgBr at its PBEsol-relaxed geometry.

```
Tl2HgBr
1.0
-2.275 -3.846 -3.089
2.743 -4.551 -1.131
-1.529 -4.716 2.221
Br Tl Hg
1 2 1
Cartesian
0.000 0.000 0.000 Br
-0.265 -3.279 -0.500 Tl
-0.796 -9.836 -1.499 Tl
-0.531 -6.557 -0.999 Hg
```

**Energy relative to the elements, uncorrected**: -296 meV per atom
**Space-group type**: Fm-3m, No. 225
**E above lowest polymorph**: 83 meV per atom

4.
VASP calculation (SCAN) on BaCr2Re at its PBEsol-relaxed geometry.

```
BaCr2Re
1.0
3.046 0.000 0.000
0.000 3.550 0.000
0.000 0.000 7.401
Cr Re Ba
2 1 1
Cartesian
0.000 0.000 6.395 Cr
0.000 0.000 1.005 Cr
1.523 1.775 0.000 Re
1.523 1.775 3.700 Ba
```

**E_form**: 0.764 eV per atom
**Space-group type**: Pmmm, No. 47

5.
VASP calculation (SCAN) on Ta2SbI at its PBEsol-relaxed geometry.

```
Ta2SbI
1.0
6.231 -0.013 0.000
-3.044 5.437 0.000
-1.594 -2.712 5.379
I Ta Sb
2 4 2
Cartesian
-1.522 2.719 2.690 I
0.000 0.000 0.000 I
-0.321 4.749 0.007 Ta
2.712 -0.681 5.373 Ta
1.201 2.031 2.683 Ta
-0.404 -0.675 2.696 Ta
1.594 2.712 0.000 Sb
3.116 -0.007 2.690 Sb
```

**Energy relative to the elements, uncorrected**: 1339 meV per atom
**Space-group type**: I-42d, No. 122

6.
VASP calculation (SCAN) on La2InSe at its PBEsol-relaxed geometry.

```
La2InSe
1.0
4.195 0.000 0.000
2.097 3.633 0.000
2.097 1.211 7.980
La Se In
2 1 1
Cartesian
6.292 3.633 5.773 La
2.097 1.211 2.207 La
4.195 2.422 3.990 Se
0.000 0.000 0.000 In
```

**Energy relative to the elements, uncorrected**: -1359 meV per atom
**Space-group type**: R-3m, No. 166
**E above lowest polymorph**: 0 meV per atom

7.
VASP calculation (SCAN) on GaP2PtO at its PBEsol-relaxed geometry.

```
GaP2PtO
1.0
3.708 0.000 0.000
0.000 4.815 0.000
0.000 0.000 4.815
O Ga P Pt
1 1 2 1
Cartesian
1.854 0.000 0.000 O
1.854 2.408 2.408 Ga
0.000 0.000 2.408 P
0.000 2.408 0.000 P
0.000 0.000 0.000 Pt
```

**Energy relative to the elements, uncorrected**: 431 meV per atom
**Space-group type**: P4/mmm, No. 123
**E above lowest polymorph**: 0 meV per atom

8.
VASP calculation (SCAN) on Li14Ti21O48 at its PBEsol-relaxed geometry.

```
Li14Ti21O48
1.0
-0.877 -4.498 -3.706
2.488 -5.232 1.082
-23.244 -7.876 15.130
Ti O Li
21 48 14
Cartesian
-20.961 -10.922 11.196 Ti
-15.192 -11.604 10.751 Ti
-5.621 -12.039 2.104 Ti
-13.936 -11.569 8.021 Ti
-7.773 -7.372 6.123 Ti
-0.679 -5.355 -0.344 Ti
-22.213 -10.996 13.926 Ti
-1.066 -7.574 -2.240 Ti
-15.642 -13.898 8.862 Ti
-5.245 -7.303 0.744 Ti
-8.906 -4.761 5.530 Ti
-9.431 -7.011 3.764 Ti
-2.385 -7.781 0.483 Ti
-16.908 -11.230 8.309 Ti
0.627 -7.943 0.168 Ti
-20.538 -8.627 13.112 Ti
-12.224 -9.245 7.174 Ti
-3.557 -7.672 3.145 Ti
-19.237 -11.299 13.649 Ti
-13.454 -6.683 6.651 Ti
-11.805 -7.043 8.997 Ti
-9.261 -8.161 5.257 O
-14.073 -12.799 9.546 O
-12.300 -10.670 8.626 O
-8.446 -13.136 3.922 O
-6.035 -3.597 3.690 O
-18.160 -12.594 12.766 O
-7.834 -6.096 4.571 O
-4.714 -6.548 4.254 O
-11.961 -5.878 7.505 O
-3.947 -8.452 -0.206 O
-8.831 -6.061 6.965 O
-2.387 -8.793 2.013 O
-16.705 -12.512 9.822 O
0.455 -6.685 -1.345 O
-0.636 -3.977 -1.760 O
-3.551 -6.511 1.497 O
-12.693 -12.676 6.977 O
-20.580 -10.063 14.534 O
-17.995 -9.940 9.182 O
-15.181 -10.467 9.065 O
-20.002 -17.050 11.444 O
-16.197 -10.332 11.740 O
-1.755 -4.002 0.619 O
-10.797 -8.312 8.007 O
-22.074 -9.737 12.408 O
-8.322 -8.190 2.567 O
-19.952 -12.203 10.218 O
-5.081 -8.469 2.273 O
-13.798 -10.343 6.494 O
-0.641 -6.717 1.051 O
0.844 -4.299 0.345 O
-14.493 -15.186 7.858 O
-12.365 -7.970 5.776 O
-18.618 -14.981 10.788 O
-6.925 -11.076 3.169 O
-13.378 -7.959 8.182 O
-6.515 -6.155 1.690 O
-17.525 -7.537 11.162 O
-6.446 -8.599 5.237 O
-19.443 -10.013 12.130 O
-20.965 -12.064 12.885 O
-4.508 -1.642 2.917 O
-1.045 -8.749 -0.608 O
-10.394 -5.720 4.741 O
-15.572 -12.472 7.414 O
-2.151 -6.387 -1.098 O
-0.235 -1.993 -0.140 O
-11.165 -10.632 6.217 O
-6.652 -9.045 3.288 Li
-18.332 -13.057 10.882 Li
-21.175 -14.039 12.730 Li
-3.371 -4.549 1.672 Li
-12.876 -14.638 6.805 Li
-2.945 -1.037 1.911 Li
-6.215 -5.557 3.516 Li
-10.045 -13.679 4.963 Li
-10.594 -6.975 6.376 Li
-14.995 -8.505 9.235 Li
-17.843 -9.473 11.088 Li
-9.522 -10.095 5.144 Li
-3.988 -9.919 1.281 Li
-18.888 -6.413 12.292 Li
```

**Energy relative to the elements, uncorrected**: -3082 meV per atom
**Space-group type**: Cm, No. 8

Number 1: DFT total energy -167.228 eV per cell, DOS at the Fermi energy 0.77 states/eV per atom. Number 2: DFT total energy -121.143 eV per cell, DOS at the Fermi energy 0.26 states/eV per atom. Number 3: DFT total energy -233.527 eV per cell, DOS at the Fermi energy 0.66 states/eV per atom. Number 4: DFT total energy -144.360 eV per cell, DOS at the Fermi energy 1.02 states/eV per atom. Number 5: DFT total energy -403.630 eV per cell, DOS at the Fermi energy 1.27 states/eV per atom. Number 6: DFT total energy -145.109 eV per cell, DOS at the Fermi energy 0.52 states/eV per atom. Number 7: DFT total energy -111.412 eV per cell, DOS at the Fermi energy 0.59 states/eV per atom. Number 8: DFT total energy -924.982 eV per cell, DOS at the Fermi energy 0.13 states/eV per atom.